NiHgAs2, relaxed, DFT PBE; V = 20.49 Å³/atom; raw total energy = -15.2 eV per formula unit; energy of formation from the pure elements = 54.2 meV per atom
1.0
-2.4902 -2.3586 2.6650
0.8804 -2.9124 3.0999
-0.2689 2.8546 5.7192
Ni As Hg
1 2 1
Direct
0.2138 0.2138 0.0996
0.9179 0.9179 0.1112
0.7983 0.7983 0.8033
0.5700 0.5700 0.4858